Material: Co2OsAu
Method: DFT, PBE
State: optimized geometry

Lattice parameters (Å, degrees): 4.051 2.679 5.157 74.95 90.00 90.00
Fractional positions:
Au 0.500 0.797 0.780
Co 0.000 0.183 0.008
Co 0.500 0.056 0.262
Os 0.000 0.463 0.450

Computed properties:
SG = No. 38
magnetic moment = 3.0 μB/f.u.
ΔE_f = 370.7 meV per atom